# PBE ZnCrRu, optimized geometry
data_ZnCrRu
_cell_length_a 2.6859
_cell_length_b 2.6859
_cell_length_c 6.4477
_cell_angle_alpha 90.00
_cell_angle_beta 90.00
_cell_angle_gamma 120.00
_symmetry_space_group_name_H-M 'P 3 m 1'
_symmetry_Int_Tables_number 156
loop_
_symmetry_equiv_pos_as_xyz
'x,y,z'
'-y,x-y,z'
'-x+y,-x,z'
'-y,-x,z'
'-x+y,y,z'
'x,x-y,z'
loop_
_atom_site_label
_atom_site_fract_x
_atom_site_fract_y
_atom_site_fract_z
Zn1 0.0000 0.0000 0.0000
Cr1 0.6667 0.3333 0.3412
Ru1 0.3333 0.6667 0.6441
# - Total DFT energy (no corrections): -6.641 eV/atom
# - Volume: 13.43 A^3/atom
# - ΔH_f (0 K): 0.0836 eV/atom
# - ΔE to the lowest computed polymorph: 74 meV/atom